1.
Crystalline CaAl4Ni at its relaxed geometry, computed with PBE-GGA.

Cell lengths 7.6050, 7.6050, 7.6050 Å; angles 90.00, 90.00, 90.00 degrees
Last column: nearest neighbours and their distance in Å.
Space group F-43m (No. 216)
Asymmetric unit:
Ca 0.0000 0.0000 0.0000 x4  12 Al 3.15, 4 Ni 3.29
Al 0.1252 0.1252 0.3748 x16  6 Al 2.68-2.69
Ni 0.2500 0.2500 0.7500 x4  12 Al 3.15, 4 Ca 3.29

Results
* ΔH_f (0 K): 13.5 kJ/mol of formula units
* total magnetization: 0.000 μB/f.u.
* total DFT energy (no corrections): -3.769 eV/atom

2.
Crystalline Cs3Pu2GaI9 at its relaxed geometry, computed with PBE-GGA.

Cell lengths 8.9221, 8.9221, 10.9868 Å; angles 90.00, 90.00, 120.00 degrees
Last column: nearest neighbours and their distance in Å.
Space group P-3m1 (No. 164)
Asymmetric unit:
Cs 0.0000 0.0000 0.0000 x1  12 I 4.44-4.46
Cs 0.3333 0.6667 0.6384 x2  12 I 4.26-4.73
Pu 0.3333 0.6667 0.1683 x2  6 I 3.10-3.17
Ga 0.0000 0.0000 0.5000 x1  6 I 3.21
I 0.0000 0.5000 0.0000 x3  2 Pu 3.17
I 0.1679 0.3357 0.3277 x6  1 Pu 3.10, 1 Ga 3.21

Results
* formation energy (no corrections): -1.181 eV/atom
* total magnetization: 11.000 μB/f.u.
* total DFT energy (no corrections): -4.395 eV/atom

3.
Crystalline Sc3TlH at its relaxed geometry, computed with PBE-GGA.

Cell lengths 12.9095, 9.7633, 6.5843 Å; angles 90.00, 104.56, 90.00 degrees
Last column: nearest neighbours and their distance in Å.
Space group C2/c (No. 15)
Asymmetric unit:
Sc 0.1592 0.1747 0.0859 x8  1 H 2.26
Sc 0.1625 0.4990 0.5801 x8  2 H 2.28-2.32
Sc 0.1647 0.1697 0.5793 x8  2 H 2.08-2.29
Tl 0.0000 0.0022 0.2500 x4  8 Sc 3.06-3.13, 3 Tl 3.29-3.32
Tl 0.0000 0.3376 0.7500 x4  8 Sc 3.05-3.11, 1 Tl 3.32
H 0.1691 0.3355 0.3363 x8  5 Sc 2.08-2.32

Results
* total magnetization: 0.811 μB/f.u.
* total DFT energy (no corrections): -5.178 eV/atom

4.
Crystalline Al2RhBr at its relaxed geometry, computed with PBE-GGA.

Cell lengths 8.5201, 3.4904, 6.3445 Å; angles 90.00, 97.18, 90.00 degrees
Last column: nearest neighbours and their distance in Å.
Space group Cm (No. 8)
Asymmetric unit:
Al 0.0000 0.0000 0.0000 x2  3 Rh 2.47-2.50
Al 0.2374 0.5000 0.2251 x2  1 Br 2.37, 2 Rh 2.39
Rh 0.2886 0.0000 0.9861 x2  5 Al 2.39-2.50
Br 0.1833 0.5000 0.5819 x2  1 Al 2.37

Results
* formation energy (no corrections): -0.368 eV/atom
* total magnetization: 0.000 μB/f.u.
* total DFT energy (no corrections): -4.496 eV/atom

5.
Crystalline PrNd2Tm7 at its relaxed geometry, computed with PBE-GGA.

Cell lengths 6.1344, 7.1047, 7.9110 Å; angles 77.36, 75.16, 73.40 degrees
Last column: nearest neighbours and their distance in Å.
Space group P-1 (No. 2)
Asymmetric unit:
Pr 0.0000 0.0000 0.0000 x1  10 Tm 3.53-3.56, 2 Nd 3.55
Nd 0.2008 0.2996 0.5999 x2  10 Tm 3.53-3.56, 1 Pr 3.55, 1 Nd 3.56
Tm 0.0000 0.5000 0.0000 x1  8 Tm 3.54-3.55, 2 Nd 3.54, 2 Pr 3.55
Tm 0.2003 0.7993 0.6007 x2  1 Pr 3.54, 4 Nd 3.54-3.55, 7 Tm 3.54-3.57
Tm 0.3990 0.1011 0.1987 x2  8 Tm 3.53-3.57, 2 Pr 3.53-3.55, 2 Nd 3.54-3.56
Tm 0.4013 0.5996 0.1990 x2  8 Tm 3.52-3.56, 3 Nd 3.53-3.56, 1 Pr 3.56

Results
* ΔH_f (0 K): 22.7 kJ/mol of formula units
* total magnetization: 0.000 μB/f.u.
* total DFT energy (no corrections): -4.538 eV/atom

6.
Crystalline GdHoInTc at its relaxed geometry, computed with PBE-GGA.

Cell lengths 7.1910, 7.1910, 7.1910 Å; angles 90.00, 90.00, 90.00 degrees
Last column: nearest neighbours and their distance in Å.
Space group F-43m (No. 216)
Asymmetric unit:
Gd 0.0000 0.0000 0.0000 x4  4 In 3.11, 4 Tc 3.11
Ho 0.0000 0.0000 0.5000 x4  4 In 3.11, 4 Tc 3.11
In 0.2500 0.2500 0.7500 x4  4 Gd 3.11, 4 Ho 3.11
Tc 0.2500 0.2500 0.2500 x4  4 Gd 3.11, 4 Ho 3.11

Results
* ΔH_f (0 K): -51.8 kJ/mol of formula units
* total magnetization: 7.023 μB/f.u.
* total DFT energy (no corrections): -8.075 eV/atom

7.
Crystalline MgZr2Re at its relaxed geometry, computed with PBE-GGA.

Cell lengths 2.9676, 4.7762, 5.6665 Å; angles 90.00, 101.50, 90.00 degrees
Last column: nearest neighbours and their distance in Å.
Space group Pm (No. 6)
Asymmetric unit:
Mg 0.0000 0.0000 0.0000 x1  2 Re 2.91, 5 Zr 2.93-3.06, 2 Mg 2.97
Zr 0.3216 0.5000 0.7456 x1  2 Re 2.77-3.08, 2 Zr 2.97, 2 Mg 3.04
Zr 0.6323 0.0000 0.4675 x1  2 Re 2.78, 3 Mg 2.93-3.06, 4 Zr 2.97-3.10
Re 0.8649 0.5000 0.2698 x1  4 Zr 2.77-3.08, 2 Mg 2.91, 2 Re 2.97

Results
* ΔH_f (0 K): 40.1 kJ/mol of formula units
* total magnetization: 0.000 μB/f.u.
* total DFT energy (no corrections): -7.681 eV/atom

8.
Crystalline La2Zr at its relaxed geometry, computed with PBE-GGA.

Cell lengths 13.0699, 3.5015, 8.5431 Å; angles 90.00, 105.84, 90.00 degrees
Last column: nearest neighbours and their distance in Å.
Space group Cm (No. 8)
Asymmetric unit:
La 0.0000 0.0000 0.0000 x2  5 Zr 3.45-3.52, 7 La 3.45-3.66
La 0.0334 0.0000 0.5931 x2  8 La 3.45-3.67, 2 Zr 3.62
La 0.1628 0.5000 0.3203 x2  4 Zr 3.37-3.66, 8 La 3.45-3.67
La 0.3066 0.0000 0.6737 x2  2 Zr 3.42, 9 La 3.45-3.67
Zr 0.2255 0.5000 0.9628 x2  4 Zr 3.14-3.50, 6 La 3.37-3.52
Zr 0.3727 0.0000 0.2397 x2  4 Zr 3.14-3.50, 4 La 3.45-3.48

Results
* ΔH_f (0 K): 48.3 kJ/mol of formula units
* total magnetization: 0.000 μB/f.u.
* total DFT energy (no corrections): -5.967 eV/atom

9.
Crystalline NaZrI2O at its relaxed geometry, computed with PBE-GGA.

Cell lengths 6.0308, 6.0308, 4.0677 Å; angles 90.00, 90.00, 90.00 degrees
Last column: nearest neighbours and their distance in Å.
Space group P4/mmm (No. 123)
Asymmetric unit:
Na 0.0000 0.0000 0.0000 x1  8 I 3.64, 2 Na 4.07
Zr 0.5000 0.5000 0.5000 x1  2 O 2.03
I 0.0000 0.5000 0.5000 x2  2 Zr 3.02
O 0.5000 0.5000 0.0000 x1  2 Zr 2.03

Results
* formation energy (no corrections): -1.384 eV/atom
* total magnetization: 0.925 μB/f.u.
* total DFT energy (no corrections): -4.970 eV/atom

10.
Crystalline CrHgOs at its relaxed geometry, computed with PBE-GGA.

Cell lengths 2.8051, 2.8051, 6.9450 Å; angles 90.00, 90.00, 120.00 degrees
Last column: nearest neighbours and their distance in Å.
Space group P3m1 (No. 156)
Asymmetric unit:
Cr 0.0000 0.0000 0.0000 x1  3 Os 2.49
Hg 0.6667 0.3333 0.3497 x1  6 Hg 2.81, 3 Cr 2.92, 3 Os 3.08
Os 0.3333 0.6667 0.7269 x1  3 Cr 2.49

Results
* ΔH_f (0 K): 143.9 kJ/mol of formula units
* total magnetization: 0.000 μB/f.u.
* total DFT energy (no corrections): -6.554 eV/atom

11.
Crystalline Ce2PmTh3Sb6 at its relaxed geometry, computed with PBE-GGA.

Cell lengths 19.6347, 4.5006, 9.0151 Å; angles 90.00, 103.38, 90.00 degrees
Last column: nearest neighbours and their distance in Å.
Space group C2/m (No. 12)
Asymmetric unit:
Ce 0.1665 0.0000 0.3328 x4  6 Sb 3.17-3.18
Pm 0.0000 0.5000 0.0000 x2  6 Sb 3.18
Th 0.0000 0.5000 0.5000 x2  6 Sb 3.19
Th 0.1665 0.0000 0.8339 x4  6 Sb 3.19
Sb 0.0004 0.0000 0.2497 x4  1 Ce 3.17, 2 Pm 3.18, 3 Th 3.19
Sb 0.1663 0.5000 0.0841 x4  2 Ce 3.18, 1 Pm 3.18, 3 Th 3.19
Sb 0.1669 0.5000 0.5829 x4  3 Ce 3.18, 3 Th 3.19

Results
* formation energy (no corrections): -1.016 eV/atom
* total magnetization: 1.871 μB/f.u.
* total DFT energy (no corrections): -6.317 eV/atom

12.
Crystalline AgGeIN2 at its relaxed geometry, computed with PBE-GGA.

Cell lengths 3.8413, 3.8413, 7.3375 Å; angles 90.00, 90.00, 90.00 degrees
Last column: nearest neighbours and their distance in Å.
Space group P4/mmm (No. 123)
Asymmetric unit:
Ag 0.0000 0.0000 0.0000 x1  4 I 2.72
Ge 0.5000 0.5000 0.5000 x1  4 N 1.92
I 0.5000 0.5000 0.0000 x1  4 Ag 2.72
N 0.0000 0.5000 0.5000 x2  2 Ge 1.92

Results
* formation energy (no corrections): 1.146 eV/atom
* total magnetization: 0.075 μB/f.u.
* total DFT energy (no corrections): -3.988 eV/atom